1.
{
  "formula": "Pm2Sn4RhAu3",
  "functional": "PBE",
  "state": "relaxed",
  "delta_e_f_kj_per_mol_atoms": -52,
  "cell": [[-0.561, -4.090, 1.902], [-0.352, -1.871, -4.127], [11.404, -1.666, -0.218]],
  "species": ["Au", "Pm", "Sn", "Au", "Rh", "Sn", "Sn", "Au", "Sn", "Pm"],
  "fractional_positions": [[0.000, 0.000, 0.500], [0.000, 0.500, 0.724], [0.500, 0.500, 0.000], [0.500, 0.000, 0.854], [0.500, 0.500, 0.500], [0.500, 0.000, 0.625], [0.000, 0.000, 0.000], [0.000, 0.500, 0.146], [0.000, 0.500, 0.375], [0.500, 0.000, 0.276]]
}

2.
{
  "formula": "LaSmHoTm",
  "functional": "PBE",
  "state": "relaxed",
  "delta_e_f_kj_per_mol_atoms": 10,
  "de_polymorph_ev_per_atom": 0.006,
  "cell": [[3.783, 0.000, 0.600], [0.000, 5.867, 0.000], [1.000, -2.933, 6.164]],
  "species": ["La", "Tm", "Sm", "Ho"],
  "fractional_positions": [[0.400, 0.136, 0.272], [0.914, 0.645, 0.290], [0.678, 0.404, 0.808], [0.194, 0.880, 0.760]]
}

3.
{
  "formula": "MnBiAu3",
  "functional": "PBE",
  "state": "relaxed",
  "delta_e_f_kj_per_mol_atoms": 50,
  "de_polymorph_ev_per_atom": 0.000,
  "cell": [[-1.277, -0.328, 4.756], [-4.386, -1.849, -1.305], [1.869, -4.564, 0.187]],
  "species": ["Au", "Bi", "Au", "Mn", "Au"],
  "fractional_positions": [[0.500, 0.000, 0.000], [0.500, 0.500, 0.500], [0.000, 0.000, 0.500], [0.000, 0.000, 0.000], [0.000, 0.500, 0.000]]
}

4.
{
  "formula": "BaTlTe",
  "functional": "PBE",
  "state": "relaxed",
  "de_polymorph_ev_per_atom": 0.034,
  "e_form_raw_ev_per_atom": -0.78,
  "cell": [[6.192, 0.045, -0.014], [2.441, 5.691, 0.014], [-4.314, -2.872, 3.390]],
  "species": ["Tl", "Te", "Ba"],
  "fractional_positions": [[0.654, 0.654, 0.000], [0.361, 0.361, 0.000], [0.985, 0.985, 0.000]]
}

5.
{
  "formula": "YBrCl4",
  "functional": "PBE",
  "state": "relaxed",
  "e_form_raw_ev_per_atom": -0.47,
  "cell": [[0.000, 4.090, 4.090], [4.090, 0.000, 4.090], [4.090, 4.090, 0.000]],
  "species": ["Cl", "Cl", "Br", "Cl", "Cl", "Y"],
  "fractional_positions": [[0.872, 0.376, 0.376], [0.376, 0.376, 0.376], [0.000, 0.000, 0.000], [0.376, 0.872, 0.376], [0.376, 0.376, 0.872], [0.750, 0.750, 0.750]]
}

6.
{
  "formula": "Li2V2Br7",
  "functional": "PBE",
  "state": "relaxed",
  "e_form_raw_ev_per_atom": -0.91,
  "cell": [[6.621, 0.146, 0.167], [-0.368, 7.248, -1.308], [-0.368, -2.260, 7.010]],
  "species": ["Br", "Br", "Li", "Br", "V", "Br", "Br", "Li", "Br", "V", "Br"],
  "fractional_positions": [[0.757, 0.909, 0.552], [0.243, 0.091, 0.448], [0.000, 0.748, 0.252], [0.243, 0.448, 0.091], [0.399, 0.336, 0.336], [0.757, 0.552, 0.909], [0.765, 0.382, 0.382], [0.000, 0.252, 0.748], [0.235, 0.618, 0.618], [0.601, 0.664, 0.664], [0.500, 0.000, 0.000]]
}